Here is crystalline LiPm2CoO5 at its relaxed geometry from the Alexandria database. Energies are from PBE+U.

E: -124.32 eV/cell
V: 13.769 Å³/atom

Lattice parameters (Å, degrees): 5.542 6.687 6.687 90.00 90.00 90.00
Fractional coordinates of all 18 atoms:
Li  0.000  0.500  0.500
Li  0.000  0.000  0.000
Pm  0.500  0.677  0.177
Pm  0.500  0.177  0.323
Pm  0.500  0.823  0.677
Pm  0.500  0.323  0.823
Co  0.000  0.000  0.500
Co  0.000  0.500  0.000
O  0.500  0.500  0.500
O  0.500  0.000  0.000
O  0.237  0.133  0.633
O  0.237  0.867  0.367
O  0.237  0.367  0.133
O  0.237  0.633  0.867
O  0.763  0.133  0.633
O  0.763  0.633  0.867
O  0.763  0.867  0.367
O  0.763  0.367  0.133